DFT (PBE) results for a geometry-optimized ZnGaNO structure.

```
ZnGaNO
1.0
-0.0883 2.1102 2.5003
-1.1228 -3.9785 3.3181
5.4881 -0.8141 0.8810
Ga N Zn O
2 2 2 2
direct
0.0000 0.0078 0.6506 Ga
0.0000 0.5078 0.3494 Ga
0.0000 0.8670 0.3376 N
0.0000 0.3670 0.6624 N
0.5000 0.4893 0.8237 Zn
0.5000 0.9893 0.1763 Zn
0.5000 0.8899 0.8195 O
0.5000 0.3899 0.1805 O
```

DOS(E_F), states/eV per cell: 0.19
Energy relative to the elements, uncorrected, meV per atom: -899
Energy relative to the lowest polymorph listed for this composition, meV/atom: 0
Electronic total energy, eV/atom: -5.295
Symmetry: Pmc2_1 (26)

DFT (PBE) results for a geometry-optimized FeAs2Pt structure.

```
FeAs2Pt
1.0
-1.7109 -0.9362 2.9037
-2.6278 -1.2391 -1.9479
2.3097 -4.6704 -0.1449
Fe Pt As
1 1 2
direct
0.0000 0.0000 0.4570 Fe
0.5000 0.5000 0.7925 Pt
0.5000 0.5000 0.3143 As
0.0000 0.0000 0.9362 As
```

DOS(E_F), states/eV per cell: 2.68
Formation energy, eV/atom: -0.0320
Energy relative to the lowest polymorph listed for this composition, meV/atom: 148
Electronic total energy, eV/atom: -5.983
Symmetry: P4mm (99)

DFT (PBE) results for a geometry-optimized Tm2FeOs3 structure.

```
Tm2FeOs3
1.0
4.7041 -0.1460 -2.4704
-2.9939 4.3863 -0.2222
-0.2557 0.1008 5.2245
Fe Os Tm
1 3 2
direct
0.0000 0.0000 0.0000 Fe
0.5000 0.0000 0.5000 Os
0.0000 0.0000 0.5000 Os
0.5000 0.5000 0.5000 Os
0.2484 0.6242 0.8726 Tm
0.7516 0.3758 0.1274 Tm
```

DOS(E_F), states/eV per cell: 5.12
Formation energy, eV/atom: -0.3308
Electronic total energy, eV/atom: -8.847
Symmetry: C2/m (12)

DFT (PBE) results for a geometry-optimized Sr4Zn2Ag structure.

```
Sr4Zn2Ag
1.0
6.4064 0.0007 -2.2540
-3.1930 5.5420 -2.2833
0.0004 -0.0007 6.7914
Ag Sr Zn
1 4 2
direct
0.0000 0.0000 0.0000 Ag
0.5000 0.0000 0.0000 Sr
0.0000 0.0000 0.5000 Sr
0.0000 0.5000 0.0000 Sr
0.5000 0.5000 0.5000 Sr
0.5000 0.5000 0.0000 Zn
0.5000 0.0000 0.5000 Zn
```

DOS(E_F), states/eV per cell: 6.98
Formation energy, eV/atom: -0.1370
Electronic total energy, eV/atom: -1.869
Symmetry: I4/mmm (139)

DFT (PBE) results for a geometry-optimized Na2LaPt2 structure.

```
Na2LaPt2
1.0
4.0225 0.0000 0.0000
0.0000 4.0225 0.0000
2.0112 2.0112 7.1621
Pt La Na
2 1 2
direct
0.5949 0.5949 0.8102 Pt
0.4051 0.4051 0.1898 Pt
0.0000 0.0000 0.0000 La
0.2500 0.7500 0.5000 Na
0.7500 0.2500 0.5000 Na
```

DOS(E_F), states/eV per cell: 2.24
Formation energy, eV/atom: -0.5448
Energy relative to the lowest polymorph listed for this composition, meV/atom: 0
Electronic total energy, eV/atom: -4.474
Symmetry: I4/mmm (139)

DFT (PBE) results for a geometry-optimized CePrHo2 structure.

```
CePrHo2
1.0
-2.3489 4.2527 -1.0533
-1.6716 -2.0021 -4.3555
-4.1502 -1.7038 2.3760
Ho Pr Ce
2 1 1
direct
0.0000 0.5000 0.0000 Ho
0.0000 0.0000 0.5000 Ho
0.5000 0.0000 0.0000 Pr
0.5000 0.5000 0.5000 Ce
```

DOS(E_F), states/eV per cell: 7.65
Formation energy, eV/atom: 0.0753
Energy relative to the lowest polymorph listed for this composition, meV/atom: 18
Electronic total energy, eV/atom: -4.892
Symmetry: P4/mmm (123)

DFT (PBE) results for a geometry-optimized MgCdBi2O8 structure.

```
MgCdBi2O8
1.0
5.6816 0.0000 0.0000
-2.8408 4.9204 0.0000
0.0000 0.0000 5.8144
O Mg Bi Cd
8 1 2 1
direct
0.3333 0.6667 0.5586 O
0.6619 0.7076 0.1735 O
0.6667 0.3333 0.4414 O
0.9543 0.6619 0.8265 O
0.0457 0.3381 0.1735 O
0.3381 0.2924 0.8265 O
0.7076 0.0457 0.8265 O
0.2924 0.9543 0.1735 O
0.0000 0.0000 0.0000 Mg
0.3333 0.6667 0.9261 Bi
0.6667 0.3333 0.0739 Bi
0.0000 0.0000 0.5000 Cd
```

DOS(E_F), states/eV per cell: 7.80
Energy relative to the elements, uncorrected, meV per atom: -600
Electronic total energy, eV/atom: -4.762
Symmetry: P-3 (147)

DFT (PBE) results for a geometry-optimized In4CuOs structure.

```
In4CuOs
1.0
0.0000 3.9973 3.9973
3.9973 0.0000 3.9973
3.9973 3.9973 0.0000
Cu In Os
1 4 1
direct
0.0000 0.0000 0.0000 Cu
0.3753 0.3753 0.3753 In
0.3753 0.8742 0.3753 In
0.3753 0.3753 0.8742 In
0.8742 0.3753 0.3753 In
0.7500 0.7500 0.7500 Os
```

DOS(E_F), states/eV per cell: 3.93
Formation energy, eV/atom: 0.9772
Electronic total energy, eV/atom: -3.403
Symmetry: F-43m (216)

DFT (PBE) results for a geometry-optimized K3MgCl5 structure.

```
K3MgCl5
1.0
7.5310 0.0000 -4.1433
-2.2795 7.1777 -4.1433
0.3095 0.4231 9.4785
K Cl Mg
6 10 2
direct
0.3337 0.8337 0.0000 K
0.7500 0.7500 0.5000 K
0.6663 0.1663 0.0000 K
0.1663 0.3337 0.0000 K
0.8337 0.6663 0.0000 K
0.2500 0.2500 0.5000 K
0.5004 0.2996 0.3000 Cl
0.4996 0.7004 0.7000 Cl
0.9996 0.4996 0.7000 Cl
0.2004 0.9996 0.7000 Cl
0.7004 0.2004 0.7000 Cl
0.5000 0.5000 0.0000 Cl
0.2996 0.7996 0.3000 Cl
0.7996 0.0004 0.3000 Cl
0.0000 0.0000 0.0000 Cl
0.0004 0.5004 0.3000 Cl
0.2500 0.7500 0.5000 Mg
0.7500 0.2500 0.5000 Mg
```

DOS(E_F), states/eV per cell: 0.00
Energy relative to the elements, uncorrected, meV per atom: -1905
Electronic total energy, eV/atom: -3.474
Symmetry: I4/mcm (140)

DFT (PBE) results for a geometry-optimized PRu4Se structure.

```
PRu4Se
1.0
-1.0156 -4.9131 -1.1020
-3.2196 -1.1604 -3.8305
1.8079 -2.0873 -4.3312
Ru Se P
4 1 1
direct
0.6251 0.1246 0.6251 Ru
0.1246 0.6251 0.6251 Ru
0.6251 0.6251 0.1246 Ru
0.6251 0.6251 0.6251 Ru
0.2500 0.2500 0.2500 Se
0.0000 0.0000 0.0000 P
```

DOS(E_F), states/eV per cell: 10.41
Energy relative to the elements, uncorrected, meV per atom: 928
Electronic total energy, eV/atom: -6.739
Symmetry: F-43m (216)